(1)
Material: Rb2ScSn
Method: DFT, PBE-GGA
State: optimized geometry

Summary:
* space group: No. 122
* total DFT energy (no corrections): -2.79 eV per atom
* energy of formation from the pure elements: 0.28 eV/atom

Lattice parameters (Å, degrees): 10.179 10.179 10.179 94.33 94.33 148.10
Positions (direct):
Rb: 0.375 0.205 0.330
Rb: 0.795 0.125 0.170
Rb: 0.875 0.045 0.670
Rb: 0.955 0.625 0.830
Sc: 0.250 0.750 0.500
Sc: 0.500 0.500 0.000
Sn: 0.000 0.000 0.000
Sn: 0.750 0.250 0.500


(2)
Material: Rb3ScSn
Method: DFT, PBE-GGA
State: optimized geometry

Summary:
* space group: No. 221
* total DFT energy (no corrections): -1.94 eV per atom
* energy of formation from the pure elements: 0.71 eV/atom
* distance to the lowest polymorph of the same formula: 0.000 eV per atom

Lattice parameters (Å, degrees): 7.093 7.093 7.093 90.00 90.00 90.00
Positions (direct):
Rb: 0.000 0.000 0.500
Rb: 0.000 0.500 0.000
Rb: 0.500 0.000 0.000
Sc: 0.500 0.500 0.500
Sn: 0.000 0.000 0.000


(3)
Material: RbSc2Sn
Method: DFT, PBE-GGA
State: optimized geometry

Summary:
* space group: No. 141
* total DFT energy (no corrections): -3.95 eV per atom
* energy of formation from the pure elements: 0.46 eV/atom

Lattice parameters (Å, degrees): 10.864 10.864 10.864 148.20 148.20 45.59
Positions (direct):
Rb: 0.375 0.625 0.750
Rb: 0.625 0.375 0.250
Sc: 0.000 0.000 0.000
Sc: 0.000 0.000 0.500
Sc: 0.000 0.500 0.000
Sc: 0.500 0.000 0.500
Sn: 0.125 0.875 0.250
Sn: 0.875 0.125 0.750


(4)
Material: RbScSnTe3
Method: DFT, PBE-GGA
State: optimized geometry

Summary:
* space group: No. 11
* total DFT energy (no corrections): -4.37 eV per atom
* raw formation energy: -0.919 eV/atom

Lattice parameters (Å, degrees): 9.497 4.335 11.647 90.00 110.02 90.00
Positions (direct):
Rb: 0.214 0.250 0.260
Rb: 0.786 0.750 0.740
Sc: 0.371 0.750 0.848
Sc: 0.629 0.250 0.152
Sn: 0.132 0.250 0.559
Sn: 0.868 0.750 0.441
Te: 0.138 0.250 0.806
Te: 0.354 0.750 0.585
Te: 0.406 0.750 0.106
Te: 0.594 0.250 0.894
Te: 0.646 0.250 0.415
Te: 0.862 0.750 0.194